(1)
First-principles (PBE-GGA) data for a relaxed LiPm2Pd2O6 crystal, as listed in Alexandria.

POSCAR file:
```
LiPm2Pd2O6
1.0
5.824 0.000 0.000
2.912 5.043 0.000
2.912 1.681 5.270
Li Pm Pd O
1 2 2 6
Cartesian
0.000 0.000 0.000
8.735 5.043 3.301
2.912 1.681 1.969
5.824 3.362 4.084
5.824 3.362 1.187
7.495 4.327 1.487
4.152 4.327 1.487
5.824 1.432 1.487
5.824 5.293 3.783
7.495 2.397 3.783
4.152 2.397 3.783
```

Properties
Uncorrected formation energy: -1423 meV/atom
Calculated volume: 154.8 Å³ per cell
SG: R-3m

(2)
First-principles (PBE-GGA) data for a relaxed Ta2BF crystal, as listed in Alexandria.

POSCAR file:
```
Ta2BF
1.0
-2.860 -3.872 1.580
3.531 -1.210 3.426
-1.834 0.398 5.777
B F Ta
2 2 4
Cartesian
0.335 -2.541 2.503
1.016 -1.677 5.853
0.000 0.000 0.000
-2.180 -3.008 4.930
-1.698 -2.327 2.801
1.284 -1.286 3.842
-0.992 -1.653 6.339
-0.921 -4.104 8.585
```

Properties
Uncorrected formation energy: 19 meV/atom
Polymorph energy (0 for the lowest one): 0.4023 eV per atom
Calculated volume: 125.9 Å³ per cell
SG: I-42d

(3)
First-principles (PBE-GGA) data for a relaxed Ca2MgAu crystal, as listed in Alexandria.

POSCAR file:
```
Ca2MgAu
1.0
5.993 0.151 0.000
2.338 5.520 0.000
-4.165 -2.836 3.248
Au Ca Mg
1 2 1
Cartesian
2.997 0.075 1.624
0.000 0.000 0.000
1.169 2.760 1.624
4.165 2.836 0.000
```

Properties
Calculated volume: 106.3 Å³ per cell
Formation energy from the elements: -1.2 eV/f.u.
SG: I-4m2

(4)
First-principles (PBE-GGA) data for a relaxed NaAl2Rh2 crystal, as listed in Alexandria.

POSCAR file:
```
NaAl2Rh2
1.0
-1.098 3.613 -6.297
-5.327 -4.727 -1.783
-1.941 1.693 1.310
Na Rh Al
2 4 4
Cartesian
0.000 0.000 0.000
-3.213 -0.557 -4.040
-4.628 -1.690 -1.487
-6.192 -0.784 -4.975
-3.738 2.268 -5.283
-2.174 1.362 -1.795
-4.999 -2.769 -3.829
-4.339 0.111 -6.572
-1.426 1.654 -4.251
-2.087 -1.226 -1.507
```

Properties
Polymorph energy (0 for the lowest one): 0.0000 eV per atom
Calculated volume: 155.7 Å³ per cell
Formation energy from the elements: -3.2 eV/f.u.
SG: P4/mbm

(5)
First-principles (PBE-GGA) data for a relaxed Tb6Pm3Nd2Pu crystal, as listed in Alexandria.

POSCAR file:
```
Tb6Pm3Nd2Pu
1.0
6.233 -0.004 -0.001
-3.118 5.397 -0.001
-1.041 -1.803 11.643
Tb Pm Nd Pu
6 3 2 1
Cartesian
3.099 1.816 8.756
2.090 3.618 2.884
-1.026 1.773 2.885
0.025 3.592 8.756
-0.017 -0.029 8.756
2.049 -0.002 2.885
-2.079 3.594 5.820
4.152 -0.005 5.820
1.037 1.795 5.820
-0.001 3.596 -0.001
3.115 1.797 -0.001
0.000 0.000 0.000
```

Properties
Calculated volume: 391.5 Å³ per cell
Formation energy from the elements: 0.5 eV/f.u.
SG: C2/m

(6)
First-principles (PBE-GGA) data for a relaxed SmScTe crystal, as listed in Alexandria.

POSCAR file:
```
SmScTe
1.0
3.908 0.000 0.000
0.000 4.975 0.000
0.000 -2.487 4.308
Sc Te Sm
1 1 1
Cartesian
0.653 0.000 0.000
0.647 0.000 2.872
2.607 2.487 1.436
```

Properties
Uncorrected formation energy: -527 meV/atom
Polymorph energy (0 for the lowest one): 0.3933 eV per atom
Calculated volume: 83.7 Å³ per cell
SG: P3m1

(7)
First-principles (PBE-GGA) data for a relaxed TbCeI4 crystal, as listed in Alexandria.

POSCAR file:
```
TbCeI4
1.0
6.235 0.000 0.000
0.000 6.235 0.000
-3.117 -3.117 6.054
Tb Ce I
1 1 4
Cartesian
0.000 3.117 3.027
3.117 3.117 0.000
3.117 0.000 5.968
3.117 3.117 3.217
3.117 0.000 0.086
0.000 0.000 2.838
```

Properties
Uncorrected formation energy: -1125 meV/atom
Calculated volume: 235.3 Å³ per cell
SG: I-4m2

(8)
First-principles (PBE-GGA) data for a relaxed SmCdPd14 crystal, as listed in Alexandria.

POSCAR file:
```
SmCdPd14
1.0
5.706 -0.012 0.000
0.012 5.706 0.000
0.000 0.000 8.021
Sm Cd Pd
1 1 14
Cartesian
5.003 4.982 4.011
2.144 2.135 4.011
5.003 4.982 0.000
2.144 2.135 0.000
4.997 2.129 4.011
4.997 2.129 0.000
2.150 4.988 4.011
2.150 4.988 0.000
3.557 0.716 1.939
3.557 0.716 6.082
0.732 3.554 1.939
0.732 3.554 6.082
3.563 3.548 1.939
3.563 3.548 6.082
0.725 0.722 1.940
0.725 0.722 6.082
```

Properties
Calculated volume: 261.1 Å³ per cell
Formation energy from the elements: -3.8 eV/f.u.
SG: P4/mmm

(9)
First-principles (PBE-GGA) data for a relaxed Pm6RuSe5 crystal, as listed in Alexandria.

POSCAR file:
```
Pm6RuSe5
1.0
7.138 -0.669 -1.286
-4.669 6.749 -1.984
0.025 -0.503 7.304
Ru Se Pm
1 5 6
Cartesian
0.000 0.000 0.000
-1.514 5.028 2.703
1.652 3.881 0.243
-2.334 3.375 -0.992
0.842 1.697 3.791
4.008 0.549 1.332
-0.713 2.386 1.314
-3.165 5.956 0.261
2.273 1.253 -1.066
0.196 4.827 -2.204
5.659 -0.378 3.773
3.207 3.191 2.720
```

Properties
Uncorrected formation energy: -1562 meV/atom
Calculated volume: 319.2 Å³ per cell
SG: C2/m

(10)
First-principles (PBE-GGA) data for a relaxed Ce3Lu5Al12 crystal, as listed in Alexandria.

POSCAR file:
```
Ce3Lu5Al12
1.0
14.749 0.000 0.000
-4.916 13.905 0.000
-4.916 -6.953 12.042
Ce Lu Al
12 20 48
Cartesian
8.603 4.345 1.505
8.603 9.560 1.505
-1.229 6.083 7.526
1.229 -0.869 4.516
11.061 0.000 3.011
1.229 6.953 3.011
3.687 0.000 9.032
-6.145 6.953 9.032
3.687 7.822 7.526
6.145 0.869 4.516
-3.687 -2.607 10.537
-3.687 2.607 10.537
-1.229 3.476 3.011
-2.458 6.953 0.000
0.000 0.000 0.000
3.687 2.607 1.505
4.916 -3.476 6.021
4.916 6.953 0.000
-3.687 7.822 4.516
6.145 -4.345 10.537
6.145 6.083 4.516
1.229 -3.476 9.032
3.687 10.429 3.011
2.458 3.476 6.021
7.374 0.000 0.000
-2.458 -3.476 6.021
-1.229 0.869 7.526
-1.229 11.298 1.505
-4.916 3.476 6.021
8.603 -0.869 7.526
1.229 4.345 10.537
6.145 3.476 9.032
9.505 1.579 1.020
0.327 5.149 5.163
10.455 2.871 3.315
6.752 2.040 1.877
1.680 5.627 7.707
10.003 6.970 1.686
-0.622 7.783 5.193
-4.294 11.865 1.877
0.779 8.278 7.707
7.204 6.935 1.686
7.701 3.383 4.144
7.701 12.326 1.020
-4.138 6.012 7.041
2.629 5.484 0.828
-5.243 10.522 4.144
2.785 -1.804 6.879
-0.779 0.385 2.706
2.629 8.404 0.858
6.752 11.035 3.315
-0.171 5.501 0.858
-3.237 7.337 9.336
3.080 6.122 5.193
6.596 7.893 7.041
5.087 -1.469 11.214
1.836 0.830 6.849
-1.680 -0.941 5.002
-0.171 8.421 0.828
-1.836 -4.082 8.727
8.153 -0.385 2.706
5.087 1.452 11.184
2.287 -1.452 11.184
2.131 8.756 5.163
5.695 6.568 9.336
10.159 -3.570 7.899
9.054 0.941 5.002
-2.785 -5.373 11.023
2.287 1.469 11.214
4.138 -1.325 4.335
-2.287 0.017 10.356
-2.785 3.570 7.899
9.210 -4.912 10.165
5.539 -0.830 6.849
-1.836 4.912 10.165
-5.087 -0.017 10.356
3.237 1.325 4.335
-5.539 4.082 8.727
4.589 1.804 6.879
-4.589 5.373 11.023
```

Properties
Calculated volume: 2469.6 Å³ per cell
Formation energy from the elements: 9.1 eV/f.u.
SG: Ia-3d

(11)
First-principles (PBE-GGA) data for a relaxed SrW2Br crystal, as listed in Alexandria.

POSCAR file:
```
SrW2Br
1.0
-0.987 1.234 5.931
0.323 -5.527 -2.650
2.907 -0.069 0.498
Sr Br W
1 1 2
Cartesian
1.615 -2.798 -1.076
0.960 0.583 3.214
0.000 0.000 0.000
-0.332 -2.146 1.641
```

Properties
Uncorrected formation energy: 1350 meV/atom
Polymorph energy (0 for the lowest one): 1.1185 eV per atom
Calculated volume: 88.3 Å³ per cell
SG: Cmmm

(12)
First-principles (PBE-GGA) data for a relaxed TlCoAg4 crystal, as listed in Alexandria.

POSCAR file:
```
TlCoAg4
1.0
0.000 3.901 3.901
3.901 0.000 3.901
3.901 3.901 0.000
Tl Co Ag
1 1 4
Cartesian
0.000 0.000 0.000
5.851 5.851 5.851
2.929 4.872 4.872
4.872 4.872 2.929
4.872 2.929 4.872
2.929 2.929 2.929
```

Properties
Calculated volume: 118.7 Å³ per cell
Formation energy from the elements: 2.9 eV/f.u.
SG: F-43m

Copy entry 5 word for word.
First-principles (PBE-GGA) data for a relaxed Tb6Pm3Nd2Pu crystal, as listed in Alexandria.

POSCAR file:
```
Tb6Pm3Nd2Pu
1.0
6.233 -0.004 -0.001
-3.118 5.397 -0.001
-1.041 -1.803 11.643
Tb Pm Nd Pu
6 3 2 1
Cartesian
3.099 1.816 8.756
2.090 3.618 2.884
-1.026 1.773 2.885
0.025 3.592 8.756
-0.017 -0.029 8.756
2.049 -0.002 2.885
-2.079 3.594 5.820
4.152 -0.005 5.820
1.037 1.795 5.820
-0.001 3.596 -0.001
3.115 1.797 -0.001
0.000 0.000 0.000
```

Properties
Calculated volume: 391.5 Å³ per cell
Formation energy from the elements: 0.5 eV/f.u.
SG: C2/m

- Which formula does entry 11 have?
  SrW2Br

- The lowest calculated volume belongs to which entry?
  SmScTe